The following is a DFT calculation (PBEsol) of a geometry-optimized LiCo2Mo structure.

Lattice parameters (Å, degrees): 2.616 2.616 8.520 81.17 81.17 60.00
Last column: magnetic moment on the atom in μB.
Fractional coordinates of all 4 atoms:
Co: 0.251 0.251 0.246  0.76
Co: 0.749 0.749 0.754  0.76
Li: 0.500 0.500 0.500  0.00
Mo: 0.000 0.000 0.000  -0.09

Computed properties:
Density of states at the Fermi level in states/eV per atom: 1.080
Energy relative to the lowest polymorph listed for this composition in meV per atom: 47
Energy relative to the elements in eV per atom: 0.297
M_tot in μB/atom: 0.348